A geometry-optimized LaTbErCd structure. Source: Alexandria via LeMat-Bulk, functional PBE. Values from VASP.

Computed properties:
**Formation enthalpy at 0 K**: -0.045 eV/atom
**Polymorph energy (0 for the lowest one)**: 0.094 eV per atom
**D(E_F)**: 5.339 states/eV per cell
**Electronic total energy**: -3.80 eV/atom

Quantum ESPRESSO input file:
```
&SYSTEM
  ibrav = 0, nat = 4, ntyp = 4
/
ATOMIC_SPECIES
La 138.91 La.upf
Tb 158.93 Tb.upf
Er 167.26 Er.upf
Cd 112.41 Cd.upf
ATOMIC_POSITIONS angstrom
La 0.000 0.000 0.000
Tb 3.918 3.918 3.918
Er 1.959 1.959 1.959
Cd 5.878 5.878 5.878
CELL_PARAMETERS angstrom
0.000 3.918 3.918
3.918 0.000 3.918
3.918 3.918 0.000
```